Record 1
Cr3NiN, relaxed, DFT GGA-PBE; crystal system = monoclinic; ΔE_f (raw) = -0.178 eV per atom; V = 104 Å³/cell; Fermi-level density of states = 1.28 states/eV per atom; calculated total energy = -8.773 eV/atom
1.0
2.7327 0.0000 0.0000
0.0000 7.9100 0.0000
-1.3504 0.0000 4.7955
Cr Ni N
6 2 2
Cartesian
0.0047 1.9775 0.1866
0.0227 0.2287 3.4884
0.0227 3.7263 3.4884
1.3597 4.1837 1.3072
1.3597 7.6813 1.3072
1.3776 5.9325 4.6089
0.0004 5.9325 2.4218
1.3819 1.9775 2.3737
0.0000 0.0000 0.0000
0.0000 3.9550 0.0000



Record 2
ZrInBi, relaxed, DFT GGA-PBE; crystal system = trigonal; V = 77 Å³/cell; Fermi-level density of states = 0.82 states/eV per atom; calculated total energy = -4.992 eV/atom; energy of formation from the pure elements = 6 kJ/mol of atoms
1.0
5.3494 0.0000 0.0000
-2.6747 4.6327 0.0000
0.0000 0.0000 3.1046
Zr In Bi
1 1 1
Cartesian
0.0000 0.0000 0.0000
0.0000 3.0885 1.5406
2.6747 1.5442 1.5660